1.
# Rb2PdCl5

A geometry-optimized Rb2PdCl5 structure (PBE-GGA, OQMD).

a = 7.004 Å, b = 7.004 Å, c = 4.990 Å
α = 90.00°, β = 90.00°, γ = 90.00°
Fractional positions:
Rb (0.000, 0.500, 0.000)
Rb (0.500, 0.000, 0.000)
Pd (0.000, 0.000, 0.500)
Cl (0.000, 0.000, 0.000)
Cl (0.238, 0.238, 0.500)
Cl (0.238, 0.762, 0.500)
Cl (0.762, 0.238, 0.500)
Cl (0.762, 0.762, 0.500)

## Properties
- DFT total energy: -3.300 eV per atom
- Symmetry: P4/mmm, No. 123

2.
# Ho3Er2TmSb2Os

A geometry-optimized Ho3Er2TmSb2Os structure (PBE-GGA, OQMD).

a = 4.190 Å, b = 8.140 Å, c = 8.140 Å
α = 120.09°, β = 90.00°, γ = 90.00°
Fractional positions:
Ho (0.000, 0.000, 0.000)
Ho (0.000, 0.524, 0.762)
Ho (0.000, 0.762, 0.524)
Er (0.500, 0.154, 0.762)
Er (0.500, 0.762, 0.154)
Tm (0.500, 0.372, 0.372)
Sb (0.000, 0.096, 0.429)
Sb (0.000, 0.429, 0.096)
Os (0.500, 0.761, 0.761)

## Properties
- DFT total energy: -5.857 eV per atom
- Symmetry: Amm2, No. 38
- Magnetic moment: 0.017 μB per cell

3.
# NpZn

A geometry-optimized NpZn structure (PBE-GGA, OQMD).

a = 7.397 Å, b = 7.397 Å, c = 7.397 Å
α = 144.58°, β = 144.58°, γ = 50.96°
Fractional positions:
Np (0.158, 0.158, 0.000)
Np (0.250, 0.750, 0.500)
Np (0.750, 0.250, 0.500)
Np (0.842, 0.842, 0.000)
Zn (0.000, 0.500, 0.500)
Zn (0.398, 0.398, 0.000)
Zn (0.500, 0.000, 0.500)
Zn (0.602, 0.602, 0.000)

## Properties
- Symmetry: I4/mmm, No. 139
- Magnetic moment: 0.521 μB per cell
- E_form: -0.033 eV per atom